# Na2LaH8Ir, relaxed, DFT GGA-PBE
data_Na2LaH8Ir
_chemical_formula_sum 'Na2 La1 H8 Ir1'
_space_group_name_H-M_alt 'P 1'
_space_group_IT_number 1
_cell_length_a 4.841
_cell_length_b 4.841
_cell_length_c 6.384
_cell_angle_alpha 90.02
_cell_angle_beta 90.02
_cell_angle_gamma 60.07
loop_
_space_group_symop_operation_xyz
'x,y,z'
loop_
_atom_site_label
_atom_site_fract_x
_atom_site_fract_y
_atom_site_fract_z
_atom_site_occupancy
Na1 0.166 0.166 0.366 1
Na2 0.834 0.834 0.634 1
La1 0.500 0.500 0.000 1
H1 0.167 0.167 0.016 1
H2 0.182 0.659 0.340 1
H3 0.341 0.341 0.660 1
H4 0.341 0.818 0.660 1
H5 0.659 0.182 0.340 1
H6 0.659 0.659 0.340 1
H7 0.818 0.341 0.660 1
H8 0.833 0.833 0.984 1
Ir1 0.500 0.500 0.500 1
# Space group: C2/m, No. 12
# DFT total energy (eV per atom): -4.0092

=====

# YMo4Pb, relaxed, DFT GGA-PBE
data_YMo4Pb
_chemical_formula_sum 'Y1 Mo4 Pb1'
_space_group_name_H-M_alt 'P 1'
_space_group_IT_number 1
_cell_length_a 5.466
_cell_length_b 5.466
_cell_length_c 5.466
_cell_angle_alpha 60.00
_cell_angle_beta 60.00
_cell_angle_gamma 60.00
loop_
_space_group_symop_operation_xyz
'x,y,z'
loop_
_atom_site_label
_atom_site_fract_x
_atom_site_fract_y
_atom_site_fract_z
_atom_site_occupancy
Y1 0.000 0.000 0.000 1
Mo1 0.127 0.624 0.624 1
Mo2 0.624 0.127 0.624 1
Mo3 0.624 0.624 0.127 1
Mo4 0.624 0.624 0.624 1
Pb1 0.250 0.250 0.250 1
# Energy relative to the elements (meV/atom): 276
# Space group: F-43m, No. 216

=====

# AgSnH, relaxed, DFT GGA-PBE
data_AgSnH
_chemical_formula_sum 'Ag1 Sn1 H1'
_space_group_name_H-M_alt 'P 1'
_space_group_IT_number 1
_cell_length_a 3.042
_cell_length_b 3.018
_cell_length_c 5.924
_cell_angle_alpha 90.00
_cell_angle_beta 90.50
_cell_angle_gamma 90.00
loop_
_space_group_symop_operation_xyz
'x,y,z'
loop_
_atom_site_label
_atom_site_fract_x
_atom_site_fract_y
_atom_site_fract_z
_atom_site_occupancy
Ag1 0.000 0.000 0.000 1
Sn1 0.993 0.500 0.442 1
H1 0.001 0.500 0.811 1
# Relative energy among the computed polymorphs (eV/f.u.): 0.12
# Space group: Pm, No. 6

=====

Repeat the second record exactly.
# YMo4Pb, relaxed, DFT GGA-PBE
data_YMo4Pb
_chemical_formula_sum 'Y1 Mo4 Pb1'
_space_group_name_H-M_alt 'P 1'
_space_group_IT_number 1
_cell_length_a 5.466
_cell_length_b 5.466
_cell_length_c 5.466
_cell_angle_alpha 60.00
_cell_angle_beta 60.00
_cell_angle_gamma 60.00
loop_
_space_group_symop_operation_xyz
'x,y,z'
loop_
_atom_site_label
_atom_site_fract_x
_atom_site_fract_y
_atom_site_fract_z
_atom_site_occupancy
Y1 0.000 0.000 0.000 1
Mo1 0.127 0.624 0.624 1
Mo2 0.624 0.127 0.624 1
Mo3 0.624 0.624 0.127 1
Mo4 0.624 0.624 0.624 1
Pb1 0.250 0.250 0.250 1
# Energy relative to the elements (meV/atom): 276
# Space group: F-43m, No. 216